--- one ---
Here is a geometry-optimized Cr3SiBr structure from the Alexandria database. Energies are from PBE.

Values from the calculation:
space group = Pm-3m, No. 221
size of the total moment = 0.0 μB per formula unit

Cell and atoms, written as POSCAR:
```
Cr3SiBr
1.0
-4.217 -1.144 -0.429
1.221 -3.938 -1.511
0.009 -1.570 4.100
Br Cr Si
1 3 1
direct
0.500 0.500 0.500
0.500 0.000 0.000
0.000 0.500 0.000
0.000 0.000 0.500
0.000 0.000 0.000
```

---

--- two ---
Here is a geometry-optimized Cr3SiBr structure from the Alexandria database. Energies are from PBE.

Values from the calculation:
space group = Pm-3m, No. 221
size of the total moment = 2.7 μB per formula unit

Cell and atoms, written as POSCAR:
```
Cr3SiBr
1.0
4.340 0.000 0.000
0.000 4.340 0.000
0.000 0.000 4.340
Cr Si Br
3 1 1
direct
0.500 0.000 0.000
0.000 0.000 0.500
0.000 0.500 0.000
0.500 0.500 0.500
0.000 0.000 0.000
```

---

Relative to the most stable one, in meV/atom, the structures come out at one 0; two 88.

---

--- one ---
Here is a geometry-optimized CrSnBr2 structure from the Alexandria database. Energies are from PBE.

Values from the calculation:
space group = I-42d, No. 122
size of the total moment = 0.6 μB per formula unit

Cell and atoms, written as POSCAR:
```
CrSnBr2
1.0
8.950 0.000 0.000
0.000 8.950 0.000
4.475 4.475 2.657
Sn Br Cr
2 4 2
direct
0.000 0.000 0.000
0.750 0.250 0.500
0.375 0.515 0.750
0.875 0.735 0.750
0.265 0.625 0.250
0.485 0.125 0.250
0.250 0.750 0.500
0.500 0.500 0.000
```

---

--- two ---
Here is a geometry-optimized CrSnBr2 structure from the Alexandria database. Energies are from PBE.

Values from the calculation:
space group = Fm-3m, No. 225
size of the total moment = 5.0 μB per formula unit

Cell and atoms, written as POSCAR:
```
CrSnBr2
1.0
1.127 -4.621 2.213
-3.790 -2.795 2.311
-1.696 -4.447 -2.206
Br Sn Cr
2 1 1
direct
0.750 0.750 0.750
0.250 0.250 0.250
0.500 0.500 0.500
0.000 0.000 0.000
```

---

Relative to the most stable one, in meV/atom, the structures come out at one 33; two 0.

---

--- one ---
Here is a geometry-optimized CrSn2Br structure from the Alexandria database. Energies are from PBE.

Values from the calculation:
space group = Fm-3m, No. 225
size of the total moment = 0.6 μB per formula unit

Cell and atoms, written as POSCAR:
```
CrSn2Br
1.0
0.000 3.588 3.588
3.588 0.000 3.588
3.588 3.588 0.000
Cr Sn Br
1 2 1
direct
0.000 0.000 0.000
0.750 0.750 0.750
0.250 0.250 0.250
0.500 0.500 0.500
```

---

--- two ---
Here is a geometry-optimized CrSn2Br structure from the Alexandria database. Energies are from PBE.

Values from the calculation:
space group = I-42d, No. 122
size of the total moment = 3.1 μB per formula unit

Cell and atoms, written as POSCAR:
```
CrSn2Br
1.0
5.624 0.000 0.000
0.000 5.624 0.000
2.812 2.812 8.408
Sn Br Cr
4 2 2
direct
0.530 0.125 0.250
0.375 0.470 0.750
0.220 0.625 0.250
0.875 0.780 0.750
0.750 0.250 0.500
0.000 0.000 0.000
0.250 0.750 0.500
0.500 0.500 0.000
```

---

Relative to the most stable one, in meV/atom, the structures come out at one 407; two 0.

---

--- one ---
Here is a geometry-optimized CrSn3Br structure from the Alexandria database. Energies are from PBE.

Values from the calculation:
space group = Pm-3m, No. 221
size of the total moment = 0.6 μB per formula unit

Cell and atoms, written as POSCAR:
```
CrSn3Br
1.0
-2.048 3.069 4.031
3.077 -2.700 3.619
4.025 3.626 -0.716
Sn Cr Br
3 1 1
direct
0.500 0.000 0.000
0.000 0.500 0.000
0.000 0.000 0.500
0.500 0.500 0.500
0.000 0.000 0.000
```

---

--- two ---
Here is a geometry-optimized CrSn3Br structure from the Alexandria database. Energies are from PBE.

Values from the calculation:
space group = Pm-3m, No. 221
size of the total moment = 1.0 μB per formula unit

Cell and atoms, written as POSCAR:
```
CrSn3Br
1.0
-2.128 -4.307 -1.736
4.600 -1.694 -1.435
0.634 -2.161 4.585
Sn Br Cr
3 1 1
direct
0.000 0.500 0.000
0.000 0.000 0.500
0.500 0.000 0.000
0.500 0.500 0.500
0.000 0.000 0.000
```

---

Relative to the most stable one, in meV/atom, the structures come out at one 1463; two 0.

---

--- one ---
Here is a geometry-optimized Sr2CrBr structure from the Alexandria database. Energies are from PBE.

Values from the calculation:
space group = Fm-3m, No. 225
size of the total moment = 4.9 μB per formula unit

Cell and atoms, written as POSCAR:
```
Sr2CrBr
1.0
0.000 4.128 4.128
4.128 0.000 4.128
4.128 4.128 0.000
Cr Br Sr
1 1 2
direct
0.000 0.000 0.000
0.500 0.500 0.500
0.250 0.250 0.250
0.750 0.750 0.750
```

---

--- two ---
Here is a geometry-optimized Sr2CrBr structure from the Alexandria database. Energies are from PBE.

Values from the calculation:
space group = P2/m, No. 10
size of the total moment = 5.0 μB per formula unit

Cell and atoms, written as POSCAR:
```
Sr2CrBr
1.0
3.981 0.000 0.000
0.000 4.197 -0.265
0.000 0.639 9.007
Cr Br Sr
1 1 2
direct
0.500 0.750 0.750
0.500 0.250 0.250
0.000 0.247 0.973
0.000 0.253 0.527
```

---

--- three ---
Here is a geometry-optimized Sr2CrBr structure from the Alexandria database. Energies are from PBE.

Values from the calculation:
space group = F-43m, No. 216
size of the total moment = 5.0 μB per formula unit

Cell and atoms, written as POSCAR:
```
Sr2CrBr
1.0
5.887 0.000 0.000
2.943 5.098 0.000
2.943 1.699 4.807
Br Sr Cr
1 2 1
direct
0.500 0.500 0.500
0.250 0.250 0.250
0.000 0.000 0.000
0.750 0.750 0.750
```

---

Relative to the most stable one, in meV/atom, the structures come out at one 224; two 0; three 580.

---

--- one ---
Here is a geometry-optimized SrCrBr3 structure from the Alexandria database. Energies are from PBE.

Values from the calculation:
space group = Pm-3m, No. 221
size of the total moment = 4.7 μB per formula unit

Cell and atoms, written as POSCAR:
```
SrCrBr3
1.0
-3.050 -2.695 3.441
-1.026 -3.637 -3.758
4.249 -2.813 1.562
Br Sr Cr
3 1 1
direct
0.500 0.000 0.000
0.000 0.500 0.000
0.000 0.000 0.500
0.500 0.500 0.500
0.000 0.000 0.000
```

---

--- two ---
Here is a geometry-optimized SrCrBr3 structure from the Alexandria database. Energies are from PBE.

Values from the calculation:
space group = Pm-3m, No. 221
size of the total moment = 5.0 μB per formula unit

Cell and atoms, written as POSCAR:
```
SrCrBr3
1.0
5.912 0.000 0.000
0.000 5.912 0.000
0.000 0.000 5.912
Br Sr Cr
3 1 1
direct
0.000 0.500 0.000
0.500 0.000 0.000
0.000 0.000 0.500
0.000 0.000 0.000
0.500 0.500 0.500
```

---

Relative to the most stable one, in meV/atom, the structures come out at one 0; two 224.